# Re2Ru (SCAN, single point on PBEsol structure)
# total DFT energy (no corrections)	-59.070	eV/atom
# ΔE to the lowest computed polymorph	0.015	eV per atom
# formation enthalpy at 0 K	-0.063	eV/atom
# calculated density	18.5	g cm⁻³
# crystal system	monoclinic
# total moment	0.00	μB/cell
data_Re2Ru
_space_group_name_H-M_alt 'P 1'
_space_group_IT_number 1
_space_group_name_Hall 'P 1'
_cell_length_a 5.156
_cell_length_b 5.156
_cell_length_c 6.442
_cell_angle_alpha 103.52
_cell_angle_beta 103.52
_cell_angle_gamma 30.70
loop_
_atom_site_label
_atom_site_type_symbol
_atom_site_fract_x
_atom_site_fract_y
_atom_site_fract_z
Re1 Re 0.029 0.029 0.309
Re2 Re 0.359 0.359 0.975
Re3 Re 0.641 0.641 0.025
Re4 Re 0.971 0.971 0.691
Ru1 Ru 0.305 0.305 0.364
Ru2 Ru 0.695 0.695 0.636

***

# ZrAgAu (SCAN, single point on PBEsol structure)
# total DFT energy (no corrections)	-44.216	eV/atom
# ΔE to the lowest computed polymorph	0.000	eV per atom
# formation enthalpy at 0 K	-0.475	eV/atom
# calculated density	12.2	g cm⁻³
# crystal system	orthorhombic
# total moment	0.00	μB/cell
data_ZrAgAu
_space_group_name_H-M_alt 'P 1'
_space_group_IT_number 1
_space_group_name_Hall 'P 1'
_cell_length_a 5.041
_cell_length_b 5.041
_cell_length_c 5.041
_cell_angle_alpha 143.44
_cell_angle_beta 134.30
_cell_angle_gamma 59.89
loop_
_atom_site_label
_atom_site_type_symbol
_atom_site_fract_x
_atom_site_fract_y
_atom_site_fract_z
Zr1 Zr 0.000 0.000 0.000
Ag1 Ag 0.672 0.672 0.000
Au1 Au 0.334 0.334 0.000

***

# Y2TaSb (SCAN, single point on PBEsol structure)
# total DFT energy (no corrections)	-39.975	eV/atom
# E_form (uncorrected)	-0.093	eV per atom
# calculated density	8.5	g cm⁻³
# crystal system	tetragonal
# total moment	0.00	μB/cell
data_Y2TaSb
_space_group_name_H-M_alt 'P 1'
_space_group_IT_number 1
_space_group_name_Hall 'P 1'
_cell_length_a 5.752
_cell_length_b 5.752
_cell_length_c 5.752
_cell_angle_alpha 134.95
_cell_angle_beta 134.95
_cell_angle_gamma 65.60
loop_
_atom_site_label
_atom_site_type_symbol
_atom_site_fract_x
_atom_site_fract_y
_atom_site_fract_z
Y1 Y 0.000 0.000 0.000
Y2 Y 0.750 0.250 0.500
Ta1 Ta 0.250 0.750 0.500
Sb1 Sb 0.500 0.500 0.000

***

# LiReRh3 (SCAN, single point on PBEsol structure)
# total DFT energy (no corrections)	-34.026	eV/atom
# formation enthalpy at 0 K	0.935	eV/atom
# calculated density	8.3	g cm⁻³
# crystal system	cubic
# total moment	0.00	μB/cell
data_LiReRh3
_space_group_name_H-M_alt 'P 1'
_space_group_IT_number 1
_space_group_name_Hall 'P 1'
_cell_length_a 4.656
_cell_length_b 4.656
_cell_length_c 4.656
_cell_angle_alpha 90.00
_cell_angle_beta 90.00
_cell_angle_gamma 90.00
loop_
_atom_site_label
_atom_site_type_symbol
_atom_site_fract_x
_atom_site_fract_y
_atom_site_fract_z
Li1 Li 0.000 0.000 0.000
Re1 Re 0.500 0.500 0.500
Rh1 Rh 0.000 0.500 0.500
Rh2 Rh 0.500 0.000 0.500
Rh3 Rh 0.500 0.500 0.000

***

# LaAu5 (SCAN, single point on PBEsol structure)
# total DFT energy (no corrections)	-65.373	eV/atom
# formation enthalpy at 0 K	-0.558	eV/atom
# calculated density	15.3	g cm⁻³
# crystal system	monoclinic
# total moment	0.00	μB/cell
data_LaAu5
_space_group_name_H-M_alt 'P 1'
_space_group_IT_number 1
_space_group_name_Hall 'P 1'
_cell_length_a 4.719
_cell_length_b 4.719
_cell_length_c 6.369
_cell_angle_alpha 93.51
_cell_angle_beta 93.51
_cell_angle_gamma 59.24
loop_
_atom_site_label
_atom_site_type_symbol
_atom_site_fract_x
_atom_site_fract_y
_atom_site_fract_z
La1 La 0.000 0.000 0.000
Au1 Au 0.000 0.000 0.500
Au2 Au 0.320 0.320 0.724
Au3 Au 0.350 0.350 0.280
Au4 Au 0.650 0.650 0.720
Au5 Au 0.680 0.680 0.276

***

# Mg30TiVO32 (SCAN, single point on PBEsol structure)
# total DFT energy (no corrections)	-8.926	eV/atom
# E_form (uncorrected)	-2.956	eV per atom
# calculated density	3.7	g cm⁻³
# crystal system	tetragonal
# total moment	5.00	μB/cell
data_Mg30TiVO32
_space_group_name_H-M_alt 'P 1'
_space_group_IT_number 1
_space_group_name_Hall 'P 1'
_cell_length_a 8.461
_cell_length_b 8.461
_cell_length_c 8.442
_cell_angle_alpha 90.00
_cell_angle_beta 90.00
_cell_angle_gamma 90.00
loop_
_atom_site_label
_atom_site_type_symbol
_atom_site_fract_x
_atom_site_fract_y
_atom_site_fract_z
Mg1 Mg 0.000 0.000 0.000
Mg2 Mg 0.000 0.000 0.500
Mg3 Mg 0.000 0.250 0.250
Mg4 Mg 0.000 0.250 0.750
Mg5 Mg 0.000 0.500 0.000
Mg6 Mg 0.000 0.500 0.500
Mg7 Mg 0.000 0.750 0.250
Mg8 Mg 0.000 0.750 0.750
Mg9 Mg 0.249 0.500 0.250
Mg10 Mg 0.249 0.500 0.750
Mg11 Mg 0.250 0.000 0.250
Mg12 Mg 0.250 0.000 0.750
Mg13 Mg 0.250 0.250 0.000
Mg14 Mg 0.250 0.250 0.500
Mg15 Mg 0.250 0.750 0.000
Mg16 Mg 0.250 0.750 0.500
Mg17 Mg 0.500 0.000 0.000
Mg18 Mg 0.500 0.000 0.500
Mg19 Mg 0.500 0.249 0.250
Mg20 Mg 0.500 0.249 0.750
Mg21 Mg 0.500 0.751 0.250
Mg22 Mg 0.500 0.751 0.750
Mg23 Mg 0.750 0.000 0.250
Mg24 Mg 0.750 0.000 0.750
Mg25 Mg 0.750 0.250 0.000
Mg26 Mg 0.750 0.250 0.500
Mg27 Mg 0.750 0.750 0.000
Mg28 Mg 0.750 0.750 0.500
Mg29 Mg 0.751 0.500 0.250
Mg30 Mg 0.751 0.500 0.750
Ti1 Ti 0.500 0.500 0.000
V1 V 0.500 0.500 0.500
O1 O 0.000 0.000 0.250
O2 O 0.000 0.000 0.750
O3 O 0.000 0.249 0.000
O4 O 0.000 0.250 0.500
O5 O 0.000 0.500 0.251
O6 O 0.000 0.500 0.749
O7 O 0.000 0.750 0.500
O8 O 0.000 0.751 0.000
O9 O 0.243 0.500 0.000
O10 O 0.248 0.500 0.500
O11 O 0.249 0.000 0.000
O12 O 0.250 0.000 0.500
O13 O 0.250 0.250 0.250
O14 O 0.250 0.250 0.750
O15 O 0.250 0.750 0.250
O16 O 0.250 0.750 0.750
O17 O 0.500 0.000 0.251
O18 O 0.500 0.000 0.749
O19 O 0.500 0.243 0.000
O20 O 0.500 0.248 0.500
O21 O 0.500 0.500 0.251
O22 O 0.500 0.500 0.749
O23 O 0.500 0.752 0.500
O24 O 0.500 0.757 0.000
O25 O 0.750 0.000 0.500
O26 O 0.750 0.250 0.250
O27 O 0.750 0.250 0.750
O28 O 0.750 0.750 0.250
O29 O 0.750 0.750 0.750
O30 O 0.751 0.000 0.000
O31 O 0.752 0.500 0.500
O32 O 0.757 0.500 0.000

***

# RuAuSe4 (SCAN, single point on PBEsol structure)
# total DFT energy (no corrections)	-29.555	eV/atom
# E_form (uncorrected)	1.161	eV per atom
# calculated density	8.9	g cm⁻³
# crystal system	cubic
# total moment	2.42	μB/cell
data_RuAuSe4
_space_group_name_H-M_alt 'P 1'
_space_group_IT_number 1
_space_group_name_Hall 'P 1'
_cell_length_a 5.458
_cell_length_b 5.458
_cell_length_c 5.458
_cell_angle_alpha 60.00
_cell_angle_beta 60.00
_cell_angle_gamma 60.00
loop_
_atom_site_label
_atom_site_type_symbol
_atom_site_fract_x
_atom_site_fract_y
_atom_site_fract_z
Ru1 Ru 0.000 0.000 0.000
Au1 Au 0.750 0.750 0.750
Se1 Se 0.375 0.375 0.375
Se2 Se 0.375 0.375 0.875
Se3 Se 0.375 0.875 0.375
Se4 Se 0.875 0.375 0.375

***

# CsAg2MoC (SCAN, single point on PBEsol structure)
# total DFT energy (no corrections)	-27.258	eV/atom
# formation enthalpy at 0 K	1.847	eV/atom
# calculated density	7.3	g cm⁻³
# crystal system	tetragonal
# total moment	5.73	μB/cell
data_CsAg2MoC
_space_group_name_H-M_alt 'P 1'
_space_group_IT_number 1
_space_group_name_Hall 'P 1'
_cell_length_a 4.301
_cell_length_b 4.301
_cell_length_c 5.634
_cell_angle_alpha 90.00
_cell_angle_beta 90.00
_cell_angle_gamma 90.00
loop_
_atom_site_label
_atom_site_type_symbol
_atom_site_fract_x
_atom_site_fract_y
_atom_site_fract_z
Cs1 Cs 0.000 0.000 0.000
Ag1 Ag 0.000 0.500 0.500
Ag2 Ag 0.500 0.000 0.500
Mo1 Mo 0.500 0.500 0.000
C1 C 0.000 0.000 0.500